A plane-wave DFT calculation with PBE+U was carried out for a geometry-optimized FeAgF4 structure.

Output
Raw total energy in eV per atom: -4.614

Cell: 3.1371 5.3923 5.3923 Å, 91.96 90.00 90.00°
With the nearest neighbours (Å) after each atom.
Atoms (fractional coordinates):
F 0.5000 0.8348 0.1652  2 Fe 2.03
F 0.0000 0.7467 0.7467  1 Fe 1.90
Fe 0.0000 0.0000 0.0000  6 F 1.90-2.03
F 0.0000 0.2533 0.2533  1 Fe 1.90
Ag 0.5000 0.5000 0.5000  6 F 2.42-2.60
F 0.5000 0.1652 0.8348  2 Fe 2.03